{"formula": "LaSc2P2", "functional": "GGA-PBE", "state": "optimized geometry", "delta_e_f_ev_per_atom": -0.947, "relative_energy_ev_per_atom": 0.1693, "e_tot_ev_per_cell": -33.14, "spacegroup": "No. 139", "lattice": [[-4.0825, 0.9140, -2.5707], [-0.7648, -4.8244, -0.5007], [-5.0150, -1.9709, 2.5741]], "species": ["Sc", "Sc", "P", "P", "La"], "fractional_positions": [[0.3312, 0.3312, 0.3376], [0.6688, 0.6688, 0.6624], [0.7500, 0.2500, 0.5000], [0.2500, 0.7500, 0.5000], [0.0000, 0.0000, 0.0000]]}